Record 1
A relaxed Cs3Ce2PmTe6 crystal. Source: the Alexandria database, functional PBE.

```
data_Cs3Ce2PmTe6
_symmetry_space_group_name_H-M 'C 1 2/m 1'
_symmetry_Int_Tables_number 12
_cell_length_a 8.143
_cell_length_b 14.104
_cell_length_c 9.322
_cell_angle_alpha 90.00
_cell_angle_beta 106.93
_cell_angle_gamma 90.00
loop_
_symmetry_equiv_pos_as_xyz
'x,y,z'
'-x,-y,-z'
'-x,y,-z'
'x,-y,z'
'x+1/2,y+1/2,z'
'-x+1/2,-y+1/2,-z'
'-x+1/2,y+1/2,-z'
'x+1/2,-y+1/2,z'
loop_
_atom_site_label
_atom_site_fract_x
_atom_site_fract_y
_atom_site_fract_z
Cs1 0.000 0.000 0.000
Cs2 0.000 0.333 0.000
Ce1 0.000 0.167 0.500
Pm1 0.000 0.500 0.500
Te1 0.230 0.335 0.694
Te2 0.234 0.000 0.694
```


Record 2
A relaxed Cs3Ce2PrS6 crystal. Source: the Alexandria database, functional PBE.

```
data_Cs3Ce2PrS6
_symmetry_space_group_name_H-M 'C 1 2/m 1'
_symmetry_Int_Tables_number 12
_cell_length_a 7.409
_cell_length_b 12.833
_cell_length_c 8.443
_cell_angle_alpha 90.00
_cell_angle_beta 107.01
_cell_angle_gamma 90.00
loop_
_symmetry_equiv_pos_as_xyz
'x,y,z'
'-x,-y,-z'
'-x,y,-z'
'x,-y,z'
'x+1/2,y+1/2,z'
'-x+1/2,-y+1/2,-z'
'-x+1/2,y+1/2,-z'
'x+1/2,-y+1/2,z'
loop_
_atom_site_label
_atom_site_fract_x
_atom_site_fract_y
_atom_site_fract_z
Cs1 0.000 0.000 0.000
Cs2 0.000 0.334 0.000
Ce1 0.000 0.167 0.500
Pr1 0.000 0.500 0.500
S1 0.226 0.000 0.686
S2 0.230 0.332 0.686
```


For the records above, the corresponding ΔE_f (raw) values read -1.37, -1.77 eV per atom.
For the records above, the corresponding calculated volume values read 42.7, 32.0 Å³/atom.